Record 1
# Ti2P2O9

Crystalline Ti2P2O9 at its relaxed geometry (GGA-PBE, Alexandria).

Values from the calculation:
- Energy: -8.023 eV per atom
- Fermi-level density of states: 0.00 states/eV/atom
- Space-group type: Pnma

Cell lengths 14.015, 6.342, 7.957 Å; angles 90.00, 90.00, 90.00 degrees
Fractional positions:
Ti (0.000, 0.000, 0.000)
Ti (0.000, 0.500, 0.000)
Ti (0.123, 0.250, 0.351)
Ti (0.377, 0.750, 0.851)
Ti (0.500, 0.000, 0.500)
Ti (0.500, 0.500, 0.500)
Ti (0.623, 0.250, 0.149)
Ti (0.877, 0.750, 0.649)
P (0.056, 0.750, 0.348)
P (0.195, 0.750, 0.915)
P (0.305, 0.250, 0.415)
P (0.444, 0.250, 0.848)
P (0.556, 0.750, 0.152)
P (0.695, 0.750, 0.585)
P (0.805, 0.250, 0.085)
P (0.944, 0.250, 0.652)
O (0.005, 0.750, 0.168)
O (0.019, 0.250, 0.514)
O (0.040, 0.250, 0.138)
O (0.118, 0.553, 0.350)
O (0.118, 0.947, 0.350)
O (0.130, 0.554, 0.938)
O (0.130, 0.946, 0.938)
O (0.219, 0.250, 0.537)
O (0.249, 0.750, 0.744)
O (0.251, 0.250, 0.244)
O (0.281, 0.750, 0.037)
O (0.370, 0.054, 0.438)
O (0.370, 0.446, 0.438)
O (0.382, 0.053, 0.850)
O (0.382, 0.447, 0.850)
O (0.460, 0.750, 0.638)
O (0.481, 0.750, 0.014)
O (0.495, 0.250, 0.668)
O (0.505, 0.750, 0.332)
O (0.519, 0.250, 0.986)
O (0.540, 0.250, 0.362)
O (0.618, 0.553, 0.150)
O (0.618, 0.947, 0.150)
O (0.630, 0.554, 0.562)
O (0.630, 0.946, 0.562)
O (0.719, 0.250, 0.963)
O (0.749, 0.750, 0.756)
O (0.751, 0.250, 0.256)
O (0.781, 0.750, 0.463)
O (0.870, 0.054, 0.062)
O (0.870, 0.446, 0.062)
O (0.882, 0.053, 0.650)
O (0.882, 0.447, 0.650)
O (0.960, 0.750, 0.862)
O (0.981, 0.750, 0.486)
O (0.995, 0.250, 0.832)

***

Record 2
# Ti3P3O13

Crystalline Ti3P3O13 at its relaxed geometry (GGA-PBE, Alexandria).

Values from the calculation:
- Energy: -8.055 eV per atom
- Fermi-level density of states: 0.20 states/eV/atom
- Space-group type: P2_1/m

Cell lengths 7.789, 6.373, 10.541 Å; angles 90.00, 97.18, 90.00 degrees
Fractional positions:
Ti (0.000, 0.000, 0.000)
Ti (0.000, 0.500, 0.000)
Ti (0.210, 0.250, 0.549)
Ti (0.350, 0.750, 0.181)
Ti (0.650, 0.250, 0.819)
Ti (0.790, 0.750, 0.451)
P (0.217, 0.750, 0.474)
P (0.259, 0.250, 0.226)
P (0.292, 0.250, 0.867)
P (0.708, 0.750, 0.133)
P (0.741, 0.750, 0.774)
P (0.783, 0.250, 0.526)
O (0.018, 0.750, 0.423)
O (0.089, 0.250, 0.126)
O (0.136, 0.750, 0.091)
O (0.191, 0.053, 0.901)
O (0.191, 0.447, 0.901)
O (0.210, 0.250, 0.364)
O (0.257, 0.551, 0.555)
O (0.257, 0.949, 0.555)
O (0.321, 0.750, 0.361)
O (0.323, 0.250, 0.724)
O (0.362, 0.054, 0.200)
O (0.362, 0.446, 0.200)
O (0.480, 0.250, 0.937)
O (0.520, 0.750, 0.063)
O (0.638, 0.554, 0.800)
O (0.638, 0.946, 0.800)
O (0.677, 0.750, 0.276)
O (0.679, 0.250, 0.639)
O (0.743, 0.051, 0.445)
O (0.743, 0.449, 0.445)
O (0.790, 0.750, 0.636)
O (0.809, 0.553, 0.099)
O (0.809, 0.947, 0.099)
O (0.864, 0.250, 0.909)
O (0.911, 0.750, 0.874)
O (0.982, 0.250, 0.577)

***

Record 3
# TiPO3

Crystalline TiPO3 at its relaxed geometry (GGA-PBE, Alexandria).

Values from the calculation:
- Energy: -6.686 eV per atom
- Fermi-level density of states: 0.62 states/eV/atom
- Space-group type: Pm-3m

Cell lengths 3.648, 3.648, 3.648 Å; angles 90.00, 90.00, 90.00 degrees
Fractional positions:
Ti (0.000, 0.000, 0.000)
P (0.500, 0.500, 0.500)
O (0.000, 0.500, 0.500)
O (0.500, 0.000, 0.500)
O (0.500, 0.500, 0.000)

***

Record 4
# TiTlPO2

Crystalline TiTlPO2 at its relaxed geometry (GGA-PBE, Alexandria).

Values from the calculation:
- Energy: -4.808 eV per atom
- Fermi-level density of states: 0.86 states/eV/atom
- Space-group type: P4/mmm

Cell lengths 4.050, 4.050, 5.508 Å; angles 90.00, 90.00, 90.00 degrees
Fractional positions:
Ti (0.000, 0.000, 0.000)
Tl (0.500, 0.500, 0.500)
P (0.500, 0.500, 0.000)
O (0.000, 0.500, 0.500)
O (0.500, 0.000, 0.500)